[1]
Below is a relaxed ZrOs2Cl crystal, with properties calculated at the GGA-PBEsol level.

Uncorrected formation energy (eV/atom): 0.7244
Symmetry: No. 119

Cell lengths 3.8682, 3.8682, 5.0337 Å; angles 112.60, 112.60, 90.00 degrees
Sites, in units of the cell vectors:
Zr  0.5000  0.5000  0.0000
Os  0.0000  0.0000  0.0000
Os  0.7500  0.2500  0.5000
Cl  0.2500  0.7500  0.5000

---

[2]
Below is a relaxed LiCa4Be crystal, with properties calculated at the GGA-PBEsol level.

ΔE_f (meV/atom): 714
Symmetry: No. 216

Cell lengths 6.7081, 6.7081, 6.7081 Å; angles 60.00, 60.00, 60.00 degrees
Sites, in units of the cell vectors:
Li  0.7500  0.7500  0.7500
Ca  0.3744  0.8767  0.3744
Ca  0.3744  0.3744  0.8767
Ca  0.3744  0.3744  0.3744
Ca  0.8767  0.3744  0.3744
Be  0.0000  0.0000  0.0000

---

[3]
Below is a relaxed Ta2IrF crystal, with properties calculated at the GGA-PBEsol level.

Uncorrected formation energy (eV/atom): -0.5388
Symmetry: No. 225

Cell lengths 4.3888, 4.3888, 4.3888 Å; angles 60.00, 60.00, 60.00 degrees
Sites, in units of the cell vectors:
Ir  0.5000  0.5000  0.5000
Ta  0.2500  0.2500  0.2500
Ta  0.7500  0.7500  0.7500
F  0.0000  0.0000  0.0000

---

| no. | final energy (eV per atom) | mass density (g cm⁻³) | Fermi-level density of states (states/eV/cell) |
| --- | --- | --- | --- |
| 1 | -8.16 | 13.32 | 2.610 |
| 2 | -1.70 | 1.37 | 6.804 |
| 3 | -9.75 | 15.92 | 2.648 |